The following is a PBE calculation of crystalline FeCoGe at its relaxed geometry, from Alexandria via LeMat-Bulk.

Values from the calculation:
final energy: -39.6 eV/cell
crystal system: orthorhombic
energy relative to the elements: 0.13 eV/atom

a = 2.614 Å, b = 2.681 Å, c = 10.847 Å
α = 89.97°, β = 76.06°, γ = 90.00°
Fractional positions:
1 Co 0.827 0.250 0.923
2 Co 0.173 0.750 0.077
3 Ge 0.485 0.751 0.765
4 Ge 0.515 0.249 0.235
5 Fe 0.817 0.250 0.433
6 Fe 0.183 0.750 0.567

---

The following is a PBE calculation of crystalline Fe2Co2Ge at its relaxed geometry, from Alexandria via LeMat-Bulk.

Values from the calculation:
energy relative to the lowest polymorph listed for this composition: 0 meV per atom
final energy: -72.7 eV/cell
crystal system: monoclinic
energy relative to the elements: -0.12 eV/atom

a = 4.019 Å, b = 4.011 Å, c = 10.390 Å
α = 54.54°, β = 78.85°, γ = 59.93°
Fractional positions:
1 Co 0.450 0.752 0.849
2 Co 0.550 0.248 0.151
3 Co 0.050 0.748 0.651
4 Fe 0.850 0.749 0.050
5 Co 0.950 0.252 0.349
6 Fe 0.150 0.251 0.950
7 Ge 0.250 0.750 0.250
8 Fe 0.650 0.751 0.450
9 Fe 0.350 0.249 0.550
10 Ge 0.750 0.250 0.750

---

The following is a PBE calculation of crystalline FeCo2Ge at its relaxed geometry, from Alexandria via LeMat-Bulk.

Values from the calculation:
final energy: -52.1 eV/cell
crystal system: tetragonal
energy relative to the elements: 0.32 eV/atom

a = 3.509 Å, b = 3.509 Å, c = 8.746 Å
α = 78.43°, β = 78.43°, γ = 90.00°
Fractional positions:
1 Co 0.113 0.625 0.250
2 Fe 0.500 0.500 0.000
3 Co 0.875 0.887 0.750
4 Fe 0.250 0.750 0.500
5 Ge 0.750 0.250 0.500
6 Co 0.375 0.363 0.750
7 Ge 0.000 0.000 0.000
8 Co 0.637 0.125 0.250

---

The following is a PBE calculation of crystalline FeCo3Ge at its relaxed geometry, from Alexandria via LeMat-Bulk.

Values from the calculation:
energy relative to the lowest polymorph listed for this composition: 0 meV per atom
final energy: -69.8 eV/cell
crystal system: orthorhombic
energy relative to the elements: -0.10 eV/atom

a = 4.018 Å, b = 4.021 Å, c = 7.435 Å
α = 90.00°, β = 74.33°, γ = 90.00°
Fractional positions:
1 Fe 0.852 0.844 0.015
2 Co 0.455 0.844 0.808
3 Co 0.758 0.344 0.201
4 Co 0.153 0.344 0.413
5 Co 0.653 0.844 0.413
6 Ge 0.356 0.344 0.005
7 Fe 0.559 0.344 0.599
8 Co 0.258 0.844 0.202
9 Co 0.956 0.344 0.807
10 Ge 0.055 0.844 0.609

---

The following is a PBE calculation of crystalline Fe12Co6Ge at its relaxed geometry, from Alexandria via LeMat-Bulk.

Values from the calculation:
final energy: -147.2 eV/cell
crystal system: trigonal
energy relative to the elements: 0.09 eV/atom

a = 6.108 Å, b = 6.108 Å, c = 6.108 Å
α = 89.49°, β = 89.49°, γ = 89.49°
Fractional positions:
1 Fe 0.485 0.585 0.184
2 Fe 0.382 0.056 0.143
3 Ge 0.000 0.000 0.000
4 Co 0.879 0.265 0.732
5 Fe 0.515 0.415 0.816
6 Co 0.265 0.732 0.879
7 Fe 0.944 0.857 0.618
8 Fe 0.056 0.143 0.382
9 Fe 0.415 0.816 0.515
10 Co 0.268 0.121 0.735
11 Co 0.121 0.735 0.268
12 Fe 0.184 0.485 0.585
13 Fe 0.857 0.618 0.944
14 Co 0.735 0.268 0.121
15 Fe 0.816 0.515 0.415
16 Fe 0.143 0.382 0.056
17 Co 0.732 0.879 0.265
18 Fe 0.618 0.944 0.857
19 Fe 0.585 0.184 0.485

---

The following is a PBE calculation of crystalline FeCo5Ge6 at its relaxed geometry, from Alexandria via LeMat-Bulk.

Values from the calculation:
final energy: -71.7 eV/cell
crystal system: monoclinic
energy relative to the elements: 0.00 eV/atom

a = 7.560 Å, b = 4.905 Å, c = 4.917 Å
α = 60.08°, β = 83.84°, γ = 77.58°
Fractional positions:
1 Ge 0.748 0.751 0.000
2 Ge 0.252 0.249 0.000
3 Co 0.500 0.168 0.664
4 Co 0.000 0.666 0.668
5 Ge 0.749 0.416 0.667
6 Co 0.500 0.832 0.336
7 Ge 0.749 0.084 0.333
8 Fe 0.000 0.000 0.000
9 Co 0.000 0.334 0.332
10 Ge 0.251 0.584 0.333
11 Co 0.500 0.500 0.000
12 Ge 0.251 0.916 0.667

---

The following is a PBE calculation of crystalline Fe14CoGe at its relaxed geometry, from Alexandria via LeMat-Bulk.

Values from the calculation:
final energy: -130.6 eV/cell
crystal system: orthorhombic
energy relative to the elements: -0.03 eV/atom

a = 4.948 Å, b = 4.948 Å, c = 8.049 Å
α = 90.00°, β = 90.00°, γ = 108.82°
Fractional positions:
1 Fe 0.371 0.121 0.247
2 Co 0.125 0.875 0.500
3 Fe 0.879 0.629 0.247
4 Ge 0.625 0.375 0.500
5 Fe 0.625 0.875 0.500
6 Fe 0.371 0.121 0.753
7 Fe 0.873 0.127 0.250
8 Fe 0.125 0.375 0.500
9 Fe 0.377 0.623 0.250
10 Fe 0.125 0.375 0.000
11 Fe 0.879 0.629 0.753
12 Fe 0.377 0.623 0.750
13 Fe 0.625 0.375 0.000
14 Fe 0.873 0.127 0.750
15 Fe 0.125 0.875 0.000
16 Fe 0.625 0.875 0.000

---

The following is a PBE calculation of crystalline FeCo7Ge4 at its relaxed geometry, from Alexandria via LeMat-Bulk.

Values from the calculation:
final energy: -74.6 eV/cell
crystal system: monoclinic
energy relative to the elements: 0.17 eV/atom

a = 4.234 Å, b = 7.103 Å, c = 5.859 Å
α = 80.50°, β = 68.82°, γ = 72.66°
Fractional positions:
1 Fe 0.000 0.000 0.000
2 Ge 0.582 0.216 0.620
3 Co 0.500 0.000 0.000
4 Co 0.074 0.673 0.180
5 Ge 0.718 0.666 0.898
6 Co 0.644 0.439 0.272
7 Co 0.787 0.876 0.549
8 Co 0.213 0.124 0.451
9 Ge 0.418 0.784 0.380
10 Co 0.356 0.561 0.728
11 Ge 0.282 0.334 0.102
12 Co 0.926 0.327 0.820

---

The following is a PBE calculation of crystalline FeCoGe at its relaxed geometry, from Alexandria via LeMat-Bulk.

Values from the calculation:
final energy: -41.1 eV/cell
crystal system: hexagonal
energy relative to the elements: -0.12 eV/atom

a = 4.082 Å, b = 4.082 Å, c = 5.031 Å
α = 90.00°, β = 90.00°, γ = 120.00°
Fractional positions:
1 Ge 0.333 0.667 0.250
2 Co 0.333 0.667 0.750
3 Fe 0.000 0.000 0.000
4 Fe 0.000 0.000 0.500
5 Ge 0.667 0.333 0.750
6 Co 0.667 0.333 0.250

---

The following is a PBE calculation of crystalline Fe2Co2Ge at its relaxed geometry, from Alexandria via LeMat-Bulk.

Values from the calculation:
energy relative to the lowest polymorph listed for this composition: 328 meV per atom
final energy: -69.4 eV/cell
crystal system: tetragonal
energy relative to the elements: 0.21 eV/atom

a = 6.818 Å, b = 6.818 Å, c = 2.725 Å
α = 90.00°, β = 90.00°, γ = 90.00°
Fractional positions:
1 Fe 0.145 0.355 0.000
2 Co 0.854 0.354 0.500
3 Ge 0.500 0.500 0.000
4 Fe 0.355 0.855 0.000
5 Co 0.354 0.146 0.500
6 Ge 0.000 0.000 0.000
7 Co 0.146 0.646 0.500
8 Fe 0.855 0.645 0.000
9 Fe 0.645 0.145 0.000
10 Co 0.646 0.854 0.500

---

The following is a PBE calculation of crystalline FeCo5Ge3 at its relaxed geometry, from Alexandria via LeMat-Bulk.

Values from the calculation:
final energy: -117.8 eV/cell
crystal system: hexagonal
energy relative to the elements: -0.12 eV/atom

a = 5.036 Å, b = 6.968 Å, c = 6.968 Å
α = 120.00°, β = 90.00°, γ = 90.00°
Fractional positions:
1 Ge 0.750 0.351 0.351
2 Co 0.750 0.318 0.000
3 Co 0.500 0.667 0.333
4 Co 0.250 0.000 0.682
5 Fe 0.500 0.000 0.000
6 Co 0.750 0.000 0.318
7 Ge 0.250 0.649 0.649
8 Ge 0.250 0.351 0.000
9 Ge 0.250 0.000 0.351
10 Fe 0.000 0.000 0.000
11 Co 0.250 0.682 0.000
12 Ge 0.750 0.000 0.649
13 Co 0.000 0.667 0.333
14 Co 0.750 0.682 0.682
15 Co 0.000 0.333 0.667
16 Co 0.250 0.318 0.318
17 Co 0.500 0.333 0.667
18 Ge 0.750 0.649 0.000

---

The following is a PBE calculation of crystalline FeCo3Ge6 at its relaxed geometry, from Alexandria via LeMat-Bulk.

Values from the calculation:
final energy: -115.7 eV/cell
crystal system: monoclinic
energy relative to the elements: -0.04 eV/atom

a = 6.291 Å, b = 5.978 Å, c = 7.758 Å
α = 90.00°, β = 92.69°, γ = 90.00°
Fractional positions:
1 Ge 0.650 0.155 0.930
2 Co 0.970 0.333 0.749
3 Ge 0.691 0.510 0.255
4 Ge 0.344 0.856 0.436
5 Ge 0.309 0.490 0.745
6 Co 0.500 0.500 0.000
7 Ge 0.656 0.144 0.564
8 Ge 0.809 0.010 0.245
9 Ge 0.156 0.356 0.064
10 Ge 0.191 0.990 0.755
11 Co 0.000 0.000 0.500
12 Fe 0.000 0.000 0.000
13 Ge 0.844 0.644 0.936
14 Ge 0.350 0.845 0.070
15 Co 0.530 0.833 0.751
16 Co 0.030 0.667 0.251
17 Ge 0.150 0.345 0.430
18 Co 0.470 0.167 0.249
19 Ge 0.850 0.655 0.570
20 Fe 0.500 0.500 0.500